Compound: TmPbF
Source: Alexandria
Functional: PBE-GGA
Structure: relaxed

Cell: 3.8238 3.8238 5.2774 Å, 90.00 90.00 120.00°
With the nearest neighbours (Å) after each atom.
Element x y z (fractional)
Tm: 0.0000 0.0000 0.0000  3 F 2.21
Pb: 0.6667 0.3333 0.5000  6 Tm 3.44, 6 F 3.44, 6 Pb 3.82
F: 0.3333 0.6667 0.0000  3 Tm 2.21

Values from the calculation:
VASP energy: -5.204 eV/atom
E above lowest polymorph: 0.0 meV per atom
E_form (uncorrected): -1.854 eV/atom
Total magnetization: 0.0 μB per formula unit
Crystal system: hexagonal
Fermi-level density of states: 0.33 states/eV per cell